A crystal of ReCl3 relaxed with PBEsol. Source: Alexandria, functional meta-GGA SCAN.

Geometry as POSCAR:
```
ReCl3
1.0
5.0574 2.9199 7.2710
-5.0574 2.9199 7.2710
0.0000 -5.8398 7.2710
Re Cl
6 18
direct
0.1169 0.3574 0.3574
0.3574 0.1169 0.3574
0.3574 0.3574 0.1169
0.6426 0.6426 0.8831
0.6426 0.8831 0.6426
0.8831 0.6426 0.6426
0.0334 0.7188 0.7188
0.1208 0.1208 0.5943
0.1208 0.5943 0.1208
0.1734 0.4895 0.4895
0.2812 0.2812 0.9666
0.2812 0.9666 0.2812
0.4057 0.8792 0.8792
0.4895 0.1734 0.4895
0.4895 0.4895 0.1734
0.5105 0.5105 0.8266
0.5105 0.8266 0.5105
0.5943 0.1208 0.1208
0.7188 0.0334 0.7188
0.7188 0.7188 0.0334
0.8266 0.5105 0.5105
0.8792 0.4057 0.8792
0.8792 0.8792 0.4057
0.9666 0.2812 0.2812
```

Total energy   -24.500 eV/atom
Magnetization   0.00 μB/f.u.
Uncorrected formation energy   -71.62 kJ per mole of atoms